The following is a PBE calculation of crystalline LaIn2Co at its relaxed geometry, from Alexandria via LeMat-Bulk.

## Properties
formation enthalpy at 0 K = -245 meV per atom
magnetic moment = 0.00 Bohr magnetons per cell
total energy = -18.489 eV/cell
crystal system = orthorhombic

Cell and atoms, written as POSCAR:
```
LaIn2Co
1.0
2.537 -4.344 0.000
2.537 4.344 0.000
0.000 0.000 4.449
La In Co
1 2 1
Cartesian
0.000 0.000 0.000
2.537 1.450 2.225
2.537 -1.450 2.225
2.537 0.000 0.000
```


The following is a PBE calculation of crystalline La8ZnNi2 at its relaxed geometry, from Alexandria via LeMat-Bulk.

## Properties
formation enthalpy at 0 K = -80 meV per atom
magnetic moment = 0.00 Bohr magnetons per cell
total energy = -53.141 eV/cell
crystal system = monoclinic

Cell and atoms, written as POSCAR:
```
La8ZnNi2
1.0
4.290 -7.004 0.000
4.290 7.004 0.000
-1.797 0.000 5.551
La Zn Ni
8 1 2
Cartesian
0.000 0.000 0.000
0.704 0.000 3.471
2.887 1.720 1.412
3.737 3.343 4.508
2.887 -1.720 1.412
6.388 1.716 2.053
3.737 -3.343 4.508
6.388 -1.716 2.053
3.751 0.000 4.492
4.640 3.986 1.738
4.640 -3.986 1.738
```


The following is a PBE calculation of crystalline VIn2Tc at its relaxed geometry, from Alexandria via LeMat-Bulk.

## Properties
formation enthalpy at 0 K = 773 meV per atom
magnetic moment = 3.25 Bohr magnetons per cell
total energy = -43.739 eV/cell
crystal system = tetragonal

Cell and atoms, written as POSCAR:
```
VIn2Tc
1.0
-3.727 3.727 2.801
3.727 -3.727 2.801
3.727 3.727 -2.801
V In Tc
2 4 2
Cartesian
0.000 0.000 0.000
0.000 3.727 1.400
1.864 -1.861 2.101
1.866 1.864 0.700
1.864 5.588 -0.700
1.861 1.864 3.501
3.727 0.000 1.400
0.000 0.000 2.801
```


The following is a PBE calculation of crystalline CsB2Ru at its relaxed geometry, from Alexandria via LeMat-Bulk.

## Properties
formation enthalpy at 0 K = 2511 meV per atom
magnetic moment = 1.14 Bohr magnetons per cell
total energy = -13.440 eV/cell
crystal system = cubic

Cell and atoms, written as POSCAR:
```
CsB2Ru
1.0
0.000 3.224 3.224
3.224 0.000 3.224
3.224 3.224 0.000
Cs B Ru
1 2 1
Cartesian
0.000 0.000 0.000
1.612 1.612 1.612
4.836 4.836 4.836
3.224 3.224 3.224
```


The following is a PBE calculation of crystalline ZnCdRh at its relaxed geometry, from Alexandria via LeMat-Bulk.

## Properties
formation enthalpy at 0 K = -203 meV per atom
magnetic moment = 0.00 Bohr magnetons per cell
total energy = -10.149 eV/cell
crystal system = monoclinic

Cell and atoms, written as POSCAR:
```
ZnCdRh
1.0
5.169 -1.575 0.000
5.169 1.575 0.000
-0.953 0.000 3.003
Zn Cd Rh
1 1 1
Cartesian
0.000 0.000 0.000
2.910 0.000 0.923
5.903 0.000 1.886
```


The following is a PBE calculation of crystalline ScBP2C at its relaxed geometry, from Alexandria via LeMat-Bulk.

## Properties
formation enthalpy at 0 K = -14 meV per atom
magnetic moment = 0.00 Bohr magnetons per cell
total energy = -33.121 eV/cell
crystal system = triclinic

Cell and atoms, written as POSCAR:
```
ScBP2C
1.0
3.686 0.000 0.000
-0.194 4.247 0.000
-0.447 -0.461 4.641
Sc B P C
1 1 2 1
Cartesian
0.000 0.000 0.000
2.712 2.773 1.990
0.263 1.385 2.552
1.738 2.193 0.327
3.196 -0.097 2.299
```


The following is a PBE calculation of crystalline Pm6Tm2Si at its relaxed geometry, from Alexandria via LeMat-Bulk.

## Properties
formation energy without anion corrections = 0.012 eV per atom
magnetic moment = 0.00 Bohr magnetons per cell
total energy = -42.761 eV/cell
crystal system = hexagonal

Cell and atoms, written as POSCAR:
```
Pm6Tm2Si
1.0
3.611 0.000 0.000
-1.806 3.127 0.000
0.000 0.000 25.455
Pm Tm Si
6 2 1
Cartesian
0.000 0.000 1.798
0.000 0.000 7.442
0.000 0.000 18.012
0.000 0.000 23.657
0.000 2.085 10.535
0.000 2.085 14.920
0.000 2.085 4.585
0.000 2.085 20.870
0.000 0.000 12.727
```


The following is a PBE calculation of crystalline VCuTe at its relaxed geometry, from Alexandria via LeMat-Bulk.

## Properties
formation energy without anion corrections = -0.062 eV per atom
magnetic moment = 0.65 Bohr magnetons per cell
total energy = -33.083 eV/cell
crystal system = tetragonal

Cell and atoms, written as POSCAR:
```
VCuTe
1.0
4.009 0.000 0.000
0.000 4.009 0.000
0.000 0.000 6.451
V Cu Te
2 2 2
Cartesian
1.002 3.007 0.000
3.007 1.002 0.000
1.002 1.002 1.770
3.007 3.007 4.681
1.002 1.002 4.553
3.007 3.007 1.898
```


The following is a PBE calculation of crystalline Cu2TcAu at its relaxed geometry, from Alexandria via LeMat-Bulk.

## Properties
formation enthalpy at 0 K = 265 meV per atom
magnetic moment = 0.00 Bohr magnetons per cell
total energy = -20.777 eV/cell
crystal system = orthorhombic

Cell and atoms, written as POSCAR:
```
Cu2TcAu
1.0
4.205 0.000 0.000
0.000 1.313 5.143
0.000 -1.313 5.143
Cu Tc Au
2 1 1
Cartesian
0.000 0.000 0.000
2.103 0.000 1.333
0.000 0.000 7.539
2.103 0.000 3.953
```


The following is a PBE calculation of crystalline LaPm2PrSm4 at its relaxed geometry, from Alexandria via LeMat-Bulk.

## Properties
formation enthalpy at 0 K = 16 meV per atom
magnetic moment = 0.00 Bohr magnetons per cell
total energy = -37.954 eV/cell
crystal system = monoclinic

Cell and atoms, written as POSCAR:
```
LaPm2PrSm4
1.0
6.332 0.000 0.000
0.000 3.671 0.000
-2.174 0.000 11.954
La Pm Pr Sm
1 2 1 4
Cartesian
0.000 0.000 0.000
2.079 0.000 5.977
3.166 1.835 0.000
-1.087 1.835 5.977
1.038 1.835 3.001
-0.041 0.000 8.965
4.199 0.000 2.990
3.120 1.835 8.953
```


The following is a PBE calculation of crystalline Ta2OsAu at its relaxed geometry, from Alexandria via LeMat-Bulk.

## Properties
formation enthalpy at 0 K = 167 meV per atom
magnetic moment = 0.00 Bohr magnetons per cell
total energy = -37.546 eV/cell
crystal system = cubic

Cell and atoms, written as POSCAR:
```
Ta2OsAu
1.0
0.000 3.234 3.234
3.234 0.000 3.234
3.234 3.234 0.000
Ta Os Au
2 1 1
Cartesian
0.000 0.000 0.000
1.617 1.617 1.617
3.234 3.234 3.234
4.851 4.851 4.851
```


The following is a PBE calculation of crystalline GaCo2AsC at its relaxed geometry, from Alexandria via LeMat-Bulk.

## Properties
formation enthalpy at 0 K = 1320 meV per atom
magnetic moment = 1.90 Bohr magnetons per cell
total energy = -24.512 eV/cell
crystal system = tetragonal

Cell and atoms, written as POSCAR:
```
GaCo2AsC
1.0
4.439 0.000 0.000
0.000 4.439 0.000
0.000 0.000 3.851
Ga Co As C
1 2 1 1
Cartesian
0.000 0.000 0.000
0.000 2.220 1.926
2.220 0.000 1.926
2.220 2.220 1.926
2.220 2.220 0.000
```


The following is a PBE calculation of crystalline Tc3SnN at its relaxed geometry, from Alexandria via LeMat-Bulk.

## Properties
formation energy without anion corrections = 0.761 eV per atom
magnetic moment = 2.61 Bohr magnetons per cell
total energy = -79.239 eV/cell
crystal system = hexagonal

Cell and atoms, written as POSCAR:
```
Tc3SnN
1.0
4.577 0.000 0.000
-2.289 3.964 0.000
0.000 0.000 8.038
Tc Sn N
6 2 2
Cartesian
0.000 0.000 2.009
0.000 0.000 6.028
0.000 2.643 0.726
0.000 2.643 3.292
2.289 1.321 4.745
2.289 1.321 7.311
0.000 2.643 6.028
2.289 1.321 2.009
0.000 0.000 0.000
0.000 0.000 4.019
```


The following is a PBE calculation of crystalline CaCe2TmTl4 at its relaxed geometry, from Alexandria via LeMat-Bulk.

## Properties
formation enthalpy at 0 K = -296 meV per atom
magnetic moment = 2.03 Bohr magnetons per cell
total energy = -30.170 eV/cell
crystal system = trigonal

Cell and atoms, written as POSCAR:
```
CaCe2TmTl4
1.0
2.729 1.575 8.938
-2.729 1.575 8.938
0.000 -3.151 8.938
Ca Ce Tm Tl
1 2 1 4
Cartesian
0.000 0.000 0.000
0.000 0.000 6.756
0.000 0.000 20.060
0.000 0.000 13.408
0.000 0.000 3.403
0.000 0.000 10.115
0.000 0.000 16.701
0.000 0.000 23.412
```


The following is a PBE calculation of crystalline Y3Er2Zn3 at its relaxed geometry, from Alexandria via LeMat-Bulk.

## Properties
formation enthalpy at 0 K = -266 meV per atom
magnetic moment = 0.00 Bohr magnetons per cell
total energy = -34.470 eV/cell
crystal system = orthorhombic

Cell and atoms, written as POSCAR:
```
Y3Er2Zn3
1.0
-1.794 2.584 10.709
1.794 -2.584 10.709
1.794 2.584 -10.709
Y Er Zn
3 2 3
Cartesian
0.000 0.000 0.000
1.794 0.000 8.164
0.000 2.584 2.545
0.000 0.000 4.900
0.000 0.000 16.518
1.794 0.000 2.488
0.000 0.000 10.709
0.000 2.584 8.221
```


The following is a PBE calculation of crystalline HoPbAu2 at its relaxed geometry, from Alexandria via LeMat-Bulk.

## Properties
formation enthalpy at 0 K = -574 meV per atom
magnetic moment = 0.00 Bohr magnetons per cell
total energy = -17.138 eV/cell
crystal system = tetragonal

Cell and atoms, written as POSCAR:
```
HoPbAu2
1.0
3.714 0.000 0.000
0.000 3.714 0.000
0.000 0.000 6.830
Ho Pb Au
1 1 2
Cartesian
0.000 0.000 0.000
0.000 0.000 3.415
1.857 1.857 1.515
1.857 1.857 5.316
```


The following is a PBE calculation of crystalline MnFePb2 at its relaxed geometry, from Alexandria via LeMat-Bulk.

## Properties
formation enthalpy at 0 K = 919 meV per atom
magnetic moment = 0.00 Bohr magnetons per cell
total energy = -21.375 eV/cell
crystal system = cubic

Cell and atoms, written as POSCAR:
```
MnFePb2
1.0
0.000 3.262 3.262
3.262 0.000 3.262
3.262 3.262 0.000
Mn Fe Pb
1 1 2
Cartesian
0.000 0.000 0.000
3.262 3.262 3.262
1.631 1.631 1.631
4.893 4.893 4.893
```


The following is a PBE calculation of crystalline LiCa2Os at its relaxed geometry, from Alexandria via LeMat-Bulk.

## Properties
formation enthalpy at 0 K = 330 meV per atom
magnetic moment = 0.00 Bohr magnetons per cell
total energy = -15.827 eV/cell
crystal system = monoclinic

Cell and atoms, written as POSCAR:
```
LiCa2Os
1.0
3.376 0.000 0.000
0.000 3.489 0.000
-0.015 0.000 8.506
Li Ca Os
1 2 1
Cartesian
0.000 0.000 0.000
1.681 1.745 2.580
1.680 1.745 5.926
-0.007 0.000 4.253
```


The following is a PBE calculation of crystalline CdP2 at its relaxed geometry, from Alexandria via LeMat-Bulk.

## Properties
formation enthalpy at 0 K = 198 meV per atom
magnetic moment = 0.00 Bohr magnetons per cell
total energy = -11.142 eV/cell
crystal system = tetragonal

Cell and atoms, written as POSCAR:
```
CdP2
1.0
-1.661 1.661 5.546
1.661 -1.661 5.546
1.661 1.661 -5.546
Cd P
1 2
Cartesian
0.000 0.000 0.000
0.000 0.000 2.558
0.000 0.000 8.534
```


The following is a PBE calculation of crystalline SiNiSbI2 at its relaxed geometry, from Alexandria via LeMat-Bulk.

## Properties
formation energy without anion corrections = 0.630 eV per atom
magnetic moment = 0.00 Bohr magnetons per cell
total energy = -15.277 eV/cell
crystal system = tetragonal

Cell and atoms, written as POSCAR:
```
SiNiSbI2
1.0
5.199 0.000 0.000
0.000 5.199 0.000
0.000 0.000 5.024
Si Ni Sb I
1 1 1 2
Cartesian
0.000 0.000 0.000
2.600 2.600 2.512
2.600 2.600 0.000
0.000 2.600 2.512
2.600 0.000 2.512
```